Material: Ac3NdCu
Method: DFT, PBE
State: relaxed

POSCAR file:
```
Ac3NdCu
1.0
-0.071 4.899 -3.261
-4.153 -2.352 -3.444
-4.170 2.260 3.486
Ac Nd Cu
3 1 1
Cartesian
-2.077 -1.176 -1.722
-2.085 1.130 1.743
-0.035 2.450 -1.630
-4.197 2.404 -1.610
0.000 0.000 0.000
```

Values from the calculation:
Energy relative to the elements = 0.1518 eV/atom


Material: ScGeF
Method: DFT, PBE
State: relaxed

POSCAR file:
```
ScGeF
1.0
3.835 0.000 0.000
-1.918 4.388 0.219
0.000 -0.347 6.724
Sc Ge F
2 2 2
Cartesian
0.000 -0.081 1.723
1.918 4.122 5.220
1.918 0.986 6.786
0.000 3.055 0.158
1.918 2.993 3.513
0.000 1.048 3.431
```

Values from the calculation:
Raw formation energy = -1.79 eV per atom


Material: Pm4Hg2Sb
Method: DFT, PBE
State: relaxed

POSCAR file:
```
Pm4Hg2Sb
1.0
-4.965 -0.196 -1.779
-1.396 -3.669 -3.528
-4.296 -6.894 4.921
Pm Hg Sb
4 2 1
Cartesian
-7.180 -5.975 -2.789
-3.477 -4.784 2.402
-4.526 -3.312 -2.661
-6.131 -7.447 2.275
-7.930 -7.906 -0.485
-2.728 -2.853 0.099
0.000 0.000 0.000
```

Values from the calculation:
Raw formation energy = -0.43 eV per atom


Material: SnTe2Cl
Method: DFT, PBE
State: relaxed

POSCAR file:
```
SnTe2Cl
1.0
-8.767 4.763 -0.371
-4.347 -7.632 4.747
-6.017 -0.253 4.582
Te Sn Cl
4 2 2
Cartesian
-8.033 2.234 1.485
-4.812 -4.513 4.087
-9.180 -0.826 4.803
-16.239 -3.141 7.539
0.000 0.000 0.000
-10.671 1.537 3.199
-6.557 -1.435 2.188
-8.461 -4.660 5.758
```

Values from the calculation:
Raw formation energy = -0.31 eV per atom


Material: MnAg2Br
Method: DFT, PBE
State: relaxed

POSCAR file:
```
MnAg2Br
1.0
0.000 3.426 3.426
3.426 0.000 3.426
3.426 3.426 0.000
Mn Br Ag
1 1 2
Cartesian
0.000 0.000 0.000
3.426 3.426 3.426
1.713 1.713 1.713
5.140 5.140 5.140
```

Values from the calculation:
Raw formation energy = 0.52 eV per atom


Material: CaGa3W
Method: DFT, PBE
State: relaxed

POSCAR file:
```
CaGa3W
1.0
4.921 0.000 0.000
0.000 4.921 0.000
0.000 0.000 4.921
Ca Ga W
1 3 1
Cartesian
2.460 2.460 2.460
0.000 2.460 0.000
0.000 0.000 2.460
2.460 0.000 0.000
0.000 0.000 0.000
```

Values from the calculation:
Energy relative to the elements = -0.0050 eV/atom


Material: Na6Tl2CdPb
Method: DFT, PBE
State: relaxed

POSCAR file:
```
Na6Tl2CdPb
1.0
-2.115 7.967 -0.913
-0.324 -4.233 -7.125
-8.464 -3.258 3.959
Na Tl Cd Pb
12 4 2 2
Cartesian
-4.739 4.181 -3.062
-2.692 3.105 -0.359
-6.163 -3.704 -1.017
-8.210 -2.629 -3.720
-8.633 -1.612 1.694
-6.620 1.268 -3.382
-2.269 2.089 -5.773
-4.282 -0.791 -0.697
-4.788 -1.550 -4.103
-1.209 -0.929 -4.290
-6.114 2.026 0.023
-9.693 1.405 0.211
-5.857 -4.695 -4.794
-7.839 -6.258 -2.295
-5.046 5.171 0.715
-3.063 6.734 -1.784
-3.361 1.226 -2.941
-7.542 -0.749 -1.138
-2.627 -3.774 -5.487
-8.276 4.250 1.408
```

Values from the calculation:
Energy relative to the elements = -0.0706 eV/atom


Material: BaAlCd3
Method: DFT, PBE
State: relaxed

POSCAR file:
```
BaAlCd3
1.0
4.551 -0.004 1.574
-0.546 4.515 1.577
0.172 0.188 6.881
Ba Al Cd
1 1 3
Cartesian
1.877 1.101 7.146
-0.229 3.860 5.868
2.490 4.353 5.375
0.481 2.103 3.799
3.298 2.707 3.021
```

Values from the calculation:
Energy relative to the elements = -0.2414 eV/atom


no.,total DFT energy (no corrections) (eV per formula unit),M_tot (μB per cell)
1,-20.43,0.00
2,-18.19,0.00
3,-26.76,0.00
4,-13.38,0.00
5,-14.46,4.00
6,-24.06,0.00
7,-17.98,0.00
8,-9.62,0.00